[1]
Ac3Ge4Pd | PBE-GGA | optimized geometry

Summary:
space-group type	Immm
energy of formation from the pure elements	-0.652	eV per atom
total DFT energy (no corrections)	-0.18926	hartree per atom
Fermi-level density of states	4.92	states/eV per cell

Cell lengths 4.8505, 6.0879, 8.7401 Å; angles 110.38, 106.11, 90.00 degrees
With the nearest neighbours (Å) after each atom.
Fractional coordinates of all 8 atoms:
Ge  0.6177  0.4049  0.2354  1 Pd 2.54, 1 Ge 2.59
Ge  0.3823  0.1695  0.7646  1 Pd 2.54, 1 Ge 2.59
Ge  0.6177  0.8305  0.2354  1 Pd 2.54, 1 Ge 2.59
Ge  0.3823  0.5951  0.7646  1 Pd 2.54, 1 Ge 2.59
Pd  0.5000  0.0000  0.0000  4 Ge 2.54
Ac  0.0000  0.5000  0.0000  8 Ge 3.31
Ac  0.8078  0.8078  0.6156  6 Ge 3.21-3.25
Ac  0.1922  0.1922  0.3844  6 Ge 3.21-3.25


[2]
Ac4Ge3Pd | PBE-GGA | optimized geometry

Summary:
space-group type	Pmm2
energy of formation from the pure elements	-0.708	eV per atom
total DFT energy (no corrections)	-0.18898	hartree per atom
Fermi-level density of states	7.91	states/eV per cell

Cell lengths 4.6050, 4.3976, 11.8561 Å; angles 90.00, 90.00, 90.00 degrees
With the nearest neighbours (Å) after each atom.
Fractional coordinates of all 8 atoms:
Ac  0.0000  0.0000  0.1348  4 Pd 3.27, 3 Ge 3.35-3.47
Ac  0.5000  0.5000  0.3575  6 Ge 3.29-3.44, 1 Pd 3.39
Ac  0.5000  0.0000  0.6416  7 Ge 3.29-3.43
Ac  0.0000  0.5000  0.8645  5 Ge 3.27-3.46, 2 Pd 3.37
Pd  0.5000  0.5000  0.0718  2 Ge 2.77
Ge  0.5000  0.0000  0.9291  2 Pd 2.77
Ge  0.0000  0.0000  0.4277  2 Ge 2.79
Ge  0.0000  0.5000  0.5730  2 Ge 2.79


[3]
AcGe2Pd8 | PBE-GGA | optimized geometry

Summary:
space-group type	P4/mmm
energy of formation from the pure elements	-0.261	eV per atom
total DFT energy (no corrections)	-0.19295	hartree per atom
Fermi-level density of states	4.99	states/eV per cell

Cell lengths 5.5988, 5.5988, 7.5529 Å; angles 90.00, 90.00, 90.00 degrees
With the nearest neighbours (Å) after each atom.
Fractional coordinates of all 11 atoms:
Pd  0.7545  0.2455  0.2031  2 Ge 2.50, 2 Pd 2.75
Pd  0.7545  0.7545  0.7969  2 Ge 2.50, 2 Pd 2.75
Pd  0.7545  0.2455  0.7969  2 Ge 2.50, 2 Pd 2.75
Pd  0.2455  0.2455  0.2031  2 Ge 2.50, 2 Pd 2.75
Pd  0.2455  0.2455  0.7969  2 Ge 2.50, 2 Pd 2.75
Pd  0.7545  0.7545  0.2031  2 Ge 2.50, 2 Pd 2.75
Pd  0.2455  0.7545  0.7969  2 Ge 2.50, 2 Pd 2.75
Pd  0.2455  0.7545  0.2031  2 Ge 2.50, 2 Pd 2.75
Ge  0.0000  0.5000  0.0000  8 Pd 2.50
Ge  0.5000  0.0000  0.0000  8 Pd 2.50
Ac  0.5000  0.5000  0.5000  8 Pd 3.02


[4]
Ac3Ge2Pd6 | PBE-GGA | optimized geometry

Summary:
space-group type	Im-3m
energy of formation from the pure elements	-0.767	eV per atom
total DFT energy (no corrections)	-0.20429	hartree per atom
Fermi-level density of states	9.21	states/eV per cell

Cell lengths 8.5166, 8.5166, 8.5166 Å; angles 109.47, 109.47, 109.47 degrees
With the nearest neighbours (Å) after each atom.
Fractional coordinates of all 22 atoms:
Pd  0.3422  0.6711  0.6711  2 Ge 2.69, 4 Pd 2.84
Pd  0.6711  0.3289  0.0000  2 Ge 2.69, 4 Pd 2.84
Pd  0.6711  0.6711  0.3422  2 Ge 2.69, 4 Pd 2.84
Pd  0.3289  0.0000  0.6711  2 Ge 2.69, 4 Pd 2.84
Pd  0.3289  0.3289  0.6578  2 Ge 2.69, 4 Pd 2.84
Pd  0.0000  0.3289  0.6711  2 Ge 2.69, 4 Pd 2.84
Pd  0.6578  0.3289  0.3289  2 Ge 2.69, 4 Pd 2.84
Pd  0.3289  0.6578  0.3289  2 Ge 2.69, 4 Pd 2.84
Pd  0.3289  0.6711  0.0000  2 Ge 2.69, 4 Pd 2.84
Pd  0.0000  0.6711  0.3289  2 Ge 2.69, 4 Pd 2.84
Pd  0.6711  0.3422  0.6711  2 Ge 2.69, 4 Pd 2.84
Pd  0.6711  0.0000  0.3289  2 Ge 2.69, 4 Pd 2.84
Ac  0.2890  0.2890  0.0000  8 Pd 3.16-3.26, 4 Ge 3.50
Ac  0.7110  0.0000  0.7110  8 Pd 3.16-3.26, 4 Ge 3.50
Ac  0.2890  0.0000  0.2890  8 Pd 3.16-3.26, 4 Ge 3.50
Ac  0.0000  0.2890  0.2890  8 Pd 3.16-3.26, 4 Ge 3.50
Ac  0.0000  0.7110  0.7110  8 Pd 3.16-3.26, 4 Ge 3.50
Ac  0.7110  0.7110  0.0000  8 Pd 3.16-3.26, 4 Ge 3.50
Ge  0.5000  0.0000  0.0000  6 Pd 2.69
Ge  0.0000  0.0000  0.5000  6 Pd 2.69
Ge  0.5000  0.5000  0.5000  6 Pd 2.69
Ge  0.0000  0.5000  0.0000  6 Pd 2.69


[5]
AcGePd2 | PBE-GGA | optimized geometry

Summary:
space-group type	Immm
energy of formation from the pure elements	-0.775	eV per atom
total DFT energy (no corrections)	-0.20405	hartree per atom
Fermi-level density of states	9.23	states/eV per cell

Cell lengths 4.6109, 9.2121, 9.8139 Å; angles 117.99, 103.59, 90.00 degrees
With the nearest neighbours (Å) after each atom.
Fractional coordinates of all 16 atoms:
Pd  0.6808  0.3310  0.3617  2 Ge 2.55, 1 Pd 2.77
Pd  0.6808  0.0307  0.3617  2 Ge 2.55, 1 Pd 2.77
Pd  0.3192  0.9693  0.6383  2 Ge 2.55, 1 Pd 2.77
Pd  0.9203  0.4203  0.8406  2 Ge 2.55, 1 Pd 2.66
Pd  0.0895  0.0895  0.1790  2 Ge 2.57
Pd  0.3192  0.6690  0.6383  2 Ge 2.55, 1 Pd 2.77
Pd  0.0797  0.5797  0.1594  2 Ge 2.55, 1 Pd 2.66
Pd  0.9105  0.9105  0.8210  2 Ge 2.57
Ge  0.1509  0.8955  0.3019  4 Pd 2.55-2.57
Ge  0.1509  0.4064  0.3019  4 Pd 2.55-2.57
Ge  0.8491  0.1045  0.6981  4 Pd 2.55-2.57
Ge  0.8491  0.5936  0.6981  4 Pd 2.55-2.57
Ac  0.2933  0.2933  0.5866  9 Pd 3.13-3.40, 6 Ge 3.35-3.36
Ac  0.7067  0.7067  0.4134  9 Pd 3.13-3.40, 6 Ge 3.35-3.36
Ac  0.5000  0.7743  0.0000  6 Pd 3.10-3.45, 4 Ge 3.43
Ac  0.5000  0.2257  0.0000  6 Pd 3.10-3.45, 4 Ge 3.43


[6]
Ac4GePd3 | PBE-GGA | optimized geometry

Summary:
space-group type	Pmm2
energy of formation from the pure elements	-0.775	eV per atom
total DFT energy (no corrections)	-0.19676	hartree per atom
Fermi-level density of states	5.75	states/eV per cell

Cell lengths 4.3031, 4.6113, 11.7072 Å; angles 90.00, 90.00, 90.00 degrees
With the nearest neighbours (Å) after each atom.
Fractional coordinates of all 8 atoms:
Ac  0.0000  0.0000  0.1384  4 Ge 3.24, 3 Pd 3.26-3.34
Ac  0.5000  0.0000  0.6349  7 Pd 3.21-3.34
Ac  0.5000  0.5000  0.3663  6 Pd 3.21-3.34, 1 Ge 3.40
Ac  0.0000  0.5000  0.8629  5 Pd 3.22-3.25, 2 Ge 3.29
Pd  0.0000  0.0000  0.4165  2 Pd 3.03, 7 Ac 3.21-3.34
Pd  0.0000  0.5000  0.5849  2 Pd 3.03, 7 Ac 3.21-3.34
Pd  0.5000  0.0000  0.9204  2 Ge 2.94, 4 Ac 3.22
Ge  0.5000  0.5000  0.0758  2 Pd 2.94, 4 Ac 3.24


[7]
Ac3Ge2Pd9 | PBE-GGA | optimized geometry

Summary:
space-group type	P6_3/mmc
energy of formation from the pure elements	-0.747	eV per atom
offset from the most stable computed form	0.00	eV/f.u.
total DFT energy (no corrections)	-0.20673	hartree per atom
Fermi-level density of states	14.02	states/eV per cell

Cell lengths 6.4364, 6.4364, 16.1115 Å; angles 90.00, 90.00, 120.00 degrees
With the nearest neighbours (Å) after each atom.
Fractional coordinates of all 28 atoms:
Pd  0.9616  0.4808  0.7500  2 Ge 2.58, 2 Pd 2.85
Pd  0.7100  0.8550  0.5736  1 Ge 2.47
Pd  0.8550  0.7100  0.0736  1 Ge 2.47
Pd  0.2900  0.1450  0.0736  1 Ge 2.47
Pd  0.8550  0.7100  0.4264  1 Ge 2.47
Pd  0.1450  0.8550  0.9264  1 Ge 2.47
Pd  0.2900  0.1450  0.4264  1 Ge 2.47
Pd  0.1450  0.2900  0.5736  1 Ge 2.47
Pd  0.1450  0.2900  0.9264  1 Ge 2.47
Pd  0.5192  0.4808  0.7500  2 Ge 2.58, 2 Pd 2.85
Pd  0.1450  0.8550  0.5736  1 Ge 2.47
Pd  0.0384  0.5192  0.2500  2 Ge 2.58, 2 Pd 2.85
Pd  0.7100  0.8550  0.9264  1 Ge 2.47
Pd  0.8550  0.1450  0.0736  1 Ge 2.47
Pd  0.5192  0.0384  0.7500  2 Ge 2.58, 2 Pd 2.85
Pd  0.4808  0.9616  0.2500  2 Ge 2.58, 2 Pd 2.85
Pd  0.8550  0.1450  0.4264  1 Ge 2.47
Pd  0.4808  0.5192  0.2500  2 Ge 2.58, 2 Pd 2.85
Ac  0.6667  0.3333  0.5761  12 Pd 3.20-3.25
Ac  0.6667  0.3333  0.9239  12 Pd 3.20-3.25
Ac  0.0000  0.0000  0.7500  12 Pd 3.23-3.27
Ac  0.3333  0.6667  0.0761  12 Pd 3.20-3.25
Ac  0.3333  0.6667  0.4239  12 Pd 3.20-3.25
Ac  0.0000  0.0000  0.2500  12 Pd 3.23-3.27
Ge  0.3333  0.6667  0.8451  6 Pd 2.47-2.58
Ge  0.3333  0.6667  0.6549  6 Pd 2.47-2.58
Ge  0.6667  0.3333  0.1549  6 Pd 2.47-2.58
Ge  0.6667  0.3333  0.3451  6 Pd 2.47-2.58


[8]
Ac3Ge2Pd | PBE-GGA | optimized geometry

Summary:
space-group type	Pnma
energy of formation from the pure elements	-0.769	eV per atom
offset from the most stable computed form	0.00	eV/f.u.
total DFT energy (no corrections)	-0.19213	hartree per atom
Fermi-level density of states	17.28	states/eV per cell

Cell lengths 4.6069, 12.5890, 12.5423 Å; angles 90.00, 90.00, 90.00 degrees
With the nearest neighbours (Å) after each atom.
Fractional coordinates of all 24 atoms:
Ac  0.7500  0.8713  0.4425  1 Pd 3.17, 5 Ge 3.30-3.51
Ac  0.2500  0.6924  0.2154  2 Pd 3.15, 4 Ge 3.32
Ac  0.2500  0.1287  0.5575  1 Pd 3.17, 5 Ge 3.30-3.51
Ac  0.2500  0.4447  0.3811  3 Pd 3.21-3.27, 5 Ge 3.29-3.39
Ac  0.7500  0.6287  0.9425  1 Pd 3.17, 5 Ge 3.30-3.51
Ac  0.7500  0.3076  0.7846  2 Pd 3.15, 4 Ge 3.32
Ac  0.7500  0.5553  0.6189  3 Pd 3.21-3.27, 5 Ge 3.29-3.39
Ac  0.2500  0.0553  0.8811  3 Pd 3.21-3.27, 5 Ge 3.29-3.39
Ac  0.7500  0.1924  0.2846  2 Pd 3.15, 4 Ge 3.32
Ac  0.2500  0.3713  0.0575  1 Pd 3.17, 5 Ge 3.30-3.51
Ac  0.7500  0.9447  0.1189  3 Pd 3.21-3.27, 5 Ge 3.29-3.39
Ac  0.2500  0.8076  0.7154  2 Pd 3.15, 4 Ge 3.32
Pd  0.2500  0.1288  0.1261  3 Ge 2.76-2.77
Pd  0.7500  0.8712  0.8739  3 Ge 2.76-2.77
Pd  0.2500  0.3712  0.6261  3 Ge 2.76-2.77
Pd  0.7500  0.6288  0.3739  3 Ge 2.76-2.77
Ge  0.7500  0.3128  0.5202  2 Pd 2.76
Ge  0.7500  0.1872  0.0202  2 Pd 2.76
Ge  0.2500  0.0038  0.3077  1 Pd 2.77
Ge  0.2500  0.4962  0.8077  1 Pd 2.77
Ge  0.2500  0.6872  0.4798  2 Pd 2.76
Ge  0.2500  0.8128  0.9798  2 Pd 2.76
Ge  0.7500  0.5038  0.1923  1 Pd 2.77
Ge  0.7500  0.9962  0.6923  1 Pd 2.77


[9]
AcGe3Pd3 | PBE-GGA | optimized geometry

Summary:
space-group type	P6_3/m
energy of formation from the pure elements	-0.476	eV per atom
offset from the most stable computed form	0.00	eV/f.u.
total DFT energy (no corrections)	-0.19355	hartree per atom
Fermi-level density of states	5.55	states/eV per cell

Cell lengths 4.6269, 9.2287, 9.2294 Å; angles 120.01, 90.00, 90.00 degrees
With the nearest neighbours (Å) after each atom.
Fractional coordinates of all 14 atoms:
Ac  0.7500  0.3334  0.6667  9 Ge 3.29-3.47, 9 Pd 3.39-3.52
Ac  0.2500  0.6666  0.3333  9 Ge 3.29-3.47, 9 Pd 3.39-3.52
Pd  0.2500  0.0731  0.3894  4 Ge 2.47-2.60
Pd  0.7500  0.6836  0.0731  4 Ge 2.47-2.60
Pd  0.2500  0.6106  0.6837  4 Ge 2.47-2.60
Pd  0.7500  0.3894  0.3163  4 Ge 2.47-2.60
Pd  0.7500  0.9269  0.6106  4 Ge 2.47-2.60
Pd  0.2500  0.3164  0.9269  4 Ge 2.47-2.60
Ge  0.7500  0.3905  0.0489  4 Pd 2.47-2.60
Ge  0.7500  0.9511  0.3417  4 Pd 2.47-2.60
Ge  0.2500  0.3417  0.3906  4 Pd 2.47-2.60
Ge  0.7500  0.6583  0.6094  4 Pd 2.47-2.60
Ge  0.2500  0.0489  0.6583  4 Pd 2.47-2.60
Ge  0.2500  0.6095  0.9511  4 Pd 2.47-2.60


Copy entry 9 word for word.
AcGe3Pd3 | PBE-GGA | optimized geometry

Summary:
space-group type	P6_3/m
energy of formation from the pure elements	-0.476	eV per atom
offset from the most stable computed form	0.00	eV/f.u.
total DFT energy (no corrections)	-0.19355	hartree per atom
Fermi-level density of states	5.55	states/eV per cell

Cell lengths 4.6269, 9.2287, 9.2294 Å; angles 120.01, 90.00, 90.00 degrees
With the nearest neighbours (Å) after each atom.
Fractional coordinates of all 14 atoms:
Ac  0.7500  0.3334  0.6667  9 Ge 3.29-3.47, 9 Pd 3.39-3.52
Ac  0.2500  0.6666  0.3333  9 Ge 3.29-3.47, 9 Pd 3.39-3.52
Pd  0.2500  0.0731  0.3894  4 Ge 2.47-2.60
Pd  0.7500  0.6836  0.0731  4 Ge 2.47-2.60
Pd  0.2500  0.6106  0.6837  4 Ge 2.47-2.60
Pd  0.7500  0.3894  0.3163  4 Ge 2.47-2.60
Pd  0.7500  0.9269  0.6106  4 Ge 2.47-2.60
Pd  0.2500  0.3164  0.9269  4 Ge 2.47-2.60
Ge  0.7500  0.3905  0.0489  4 Pd 2.47-2.60
Ge  0.7500  0.9511  0.3417  4 Pd 2.47-2.60
Ge  0.2500  0.3417  0.3906  4 Pd 2.47-2.60
Ge  0.7500  0.6583  0.6094  4 Pd 2.47-2.60
Ge  0.2500  0.0489  0.6583  4 Pd 2.47-2.60
Ge  0.2500  0.6095  0.9511  4 Pd 2.47-2.60